(1)
A relaxed structure of Sr2GaO4, computed with PBE.

Lattice parameters (Å, degrees): 6.0482 5.4494 7.1786 90.00 108.98 90.00
With the nearest neighbours (Å) after each atom.
Fractional coordinates of all 14 atoms:
Sr 0.2050 0.2500 0.0530  6 O 2.49-2.64
Sr 0.2893 0.2500 0.5624  6 O 2.50-2.78
Sr 0.7107 0.7500 0.4376  6 O 2.50-2.78
Sr 0.7950 0.7500 0.9470  6 O 2.49-2.64
Ga 0.2628 0.7500 0.8020  4 O 1.84-1.88
Ga 0.7372 0.2500 0.1980  4 O 1.84-1.88
O 0.0265 0.5118 0.7476  1 Ga 1.88
O 0.0265 0.9882 0.7476  1 Ga 1.88
O 0.4413 0.7500 0.0695  1 Ga 1.87
O 0.4472 0.7500 0.6427  1 Ga 1.84
O 0.5528 0.2500 0.3573  1 Ga 1.84
O 0.5587 0.2500 0.9305  1 Ga 1.87
O 0.9735 0.0118 0.2524  1 Ga 1.88
O 0.9735 0.4882 0.2524  1 Ga 1.88

Results
SG = No. 11
V = 223.74 Å³ per cell
Formation energy (no corrections) = -2.16 eV per atom


(2)
A relaxed structure of Sr3Ga5O12, computed with PBE.

Lattice parameters (Å, degrees): 11.1235 11.1235 11.1235 109.47 109.47 109.47
With the nearest neighbours (Å) after each atom.
Fractional coordinates of all 80 atoms:
Sr 0.1250 0.2500 0.3750  8 O 2.52-2.64
Sr 0.1250 0.3750 0.7500  8 O 2.52-2.64
Sr 0.2500 0.3750 0.1250  8 O 2.52-2.64
Sr 0.2500 0.8750 0.6250  8 O 2.52-2.64
Sr 0.3750 0.1250 0.2500  8 O 2.52-2.64
Sr 0.3750 0.7500 0.1250  8 O 2.52-2.64
Sr 0.6250 0.2500 0.8750  8 O 2.52-2.64
Sr 0.6250 0.8750 0.7500  8 O 2.52-2.64
Sr 0.7500 0.1250 0.3750  8 O 2.52-2.64
Sr 0.7500 0.6250 0.8750  8 O 2.52-2.64
Sr 0.8750 0.6250 0.2500  8 O 2.52-2.64
Sr 0.8750 0.7500 0.6250  8 O 2.52-2.64
Ga 0.0000 0.0000 0.0000  6 O 2.02
Ga 0.0000 0.0000 0.5000  6 O 2.02
Ga 0.0000 0.5000 0.0000  6 O 2.02
Ga 0.0000 0.5000 0.5000  6 O 2.02
Ga 0.1250 0.7500 0.8750  4 O 1.88
Ga 0.1250 0.8750 0.2500  4 O 1.88
Ga 0.2500 0.1250 0.8750  4 O 1.88
Ga 0.2500 0.6250 0.3750  4 O 1.88
Ga 0.3750 0.2500 0.6250  4 O 1.88
Ga 0.3750 0.6250 0.7500  4 O 1.88
Ga 0.5000 0.0000 0.0000  6 O 2.02
Ga 0.5000 0.0000 0.5000  6 O 2.02
Ga 0.5000 0.5000 0.0000  6 O 2.02
Ga 0.5000 0.5000 0.5000  6 O 2.02
Ga 0.6250 0.3750 0.2500  4 O 1.88
Ga 0.6250 0.7500 0.3750  4 O 1.88
Ga 0.7500 0.3750 0.6250  4 O 1.88
Ga 0.7500 0.8750 0.1250  4 O 1.88
Ga 0.8750 0.1250 0.7500  4 O 1.88
Ga 0.8750 0.2500 0.1250  4 O 1.88
O 0.0142 0.1944 0.1122  2 Ga 1.88-2.02
O 0.0142 0.3199 0.9020  2 Ga 1.88-2.02
O 0.0821 0.6944 0.6801  2 Ga 1.88-2.02
O 0.0821 0.8878 0.4020  2 Ga 1.88-2.02
O 0.0980 0.6122 0.4179  2 Ga 1.88-2.02
O 0.0980 0.9858 0.6801  2 Ga 1.88-2.02
O 0.1122 0.0142 0.1944  2 Ga 1.88-2.02
O 0.1122 0.5980 0.9179  2 Ga 1.88-2.02
O 0.1801 0.1944 0.5821  2 Ga 1.88-2.02
O 0.1801 0.4858 0.5980  2 Ga 1.88-2.02
O 0.1944 0.1122 0.0142  2 Ga 1.88-2.02
O 0.1944 0.5821 0.1801  2 Ga 1.88-2.02
O 0.3056 0.3199 0.9179  2 Ga 1.88-2.02
O 0.3056 0.4858 0.3878  2 Ga 1.88-2.02
O 0.3199 0.9020 0.0142  2 Ga 1.88-2.02
O 0.3199 0.9179 0.3056  2 Ga 1.88-2.02
O 0.3878 0.3056 0.4858  2 Ga 1.88-2.02
O 0.3878 0.5821 0.9020  2 Ga 1.88-2.02
O 0.4020 0.0821 0.8878  2 Ga 1.88-2.02
O 0.4020 0.8199 0.5142  2 Ga 1.88-2.02
O 0.4179 0.0980 0.6122  2 Ga 1.88-2.02
O 0.4179 0.8199 0.8056  2 Ga 1.88-2.02
O 0.4858 0.3878 0.3056  2 Ga 1.88-2.02
O 0.4858 0.5980 0.1801  2 Ga 1.88-2.02
O 0.5142 0.4020 0.8199  2 Ga 1.88-2.02
O 0.5142 0.6122 0.6944  2 Ga 1.88-2.02
O 0.5821 0.1801 0.1944  2 Ga 1.88-2.02
O 0.5821 0.9020 0.3878  2 Ga 1.88-2.02
O 0.5980 0.1801 0.4858  2 Ga 1.88-2.02
O 0.5980 0.9179 0.1122  2 Ga 1.88-2.02
O 0.6122 0.4179 0.0980  2 Ga 1.88-2.02
O 0.6122 0.6944 0.5142  2 Ga 1.88-2.02
O 0.6801 0.0821 0.6944  2 Ga 1.88-2.02
O 0.6801 0.0980 0.9858  2 Ga 1.88-2.02
O 0.6944 0.5142 0.6122  2 Ga 1.88-2.02
O 0.6944 0.6801 0.0821  2 Ga 1.88-2.02
O 0.8056 0.4179 0.8199  2 Ga 1.88-2.02
O 0.8056 0.8878 0.9858  2 Ga 1.88-2.02
O 0.8199 0.5142 0.4020  2 Ga 1.88-2.02
O 0.8199 0.8056 0.4179  2 Ga 1.88-2.02
O 0.8878 0.4020 0.0821  2 Ga 1.88-2.02
O 0.8878 0.9858 0.8056  2 Ga 1.88-2.02
O 0.9020 0.0142 0.3199  2 Ga 1.88-2.02
O 0.9020 0.3878 0.5821  2 Ga 1.88-2.02
O 0.9179 0.1122 0.5980  2 Ga 1.88-2.02
O 0.9179 0.3056 0.3199  2 Ga 1.88-2.02
O 0.9858 0.6801 0.0980  2 Ga 1.88-2.02
O 0.9858 0.8056 0.8878  2 Ga 1.88-2.02

Results
SG = No. 230
V = 1059.50 Å³ per cell
Formation energy (no corrections) = -1.92 eV per atom


(3)
A relaxed structure of Sr3Ga4O9, computed with PBE.

Lattice parameters (Å, degrees): 6.8249 8.1301 9.8453 84.93 72.42 74.59
With the nearest neighbours (Å) after each atom.
Fractional coordinates of all 32 atoms:
Sr 0.0592 0.0516 0.1889  6 O 2.48-2.76
Sr 0.1871 0.5653 0.1762  6 O 2.47-2.75
Sr 0.3137 0.2116 0.4569  5 O 2.42-2.68
Sr 0.6863 0.7884 0.5431  5 O 2.42-2.68
Sr 0.8129 0.4347 0.8238  6 O 2.47-2.75
Sr 0.9408 0.9484 0.8111  6 O 2.48-2.76
Ga 0.2541 0.7456 0.4448  4 O 1.83-1.91
Ga 0.3348 0.5513 0.7361  4 O 1.85-1.89
Ga 0.3903 0.1714 0.8013  4 O 1.86-1.89
Ga 0.4404 0.8055 0.9194  4 O 1.83-1.91
Ga 0.5596 0.1945 0.0806  4 O 1.83-1.91
Ga 0.6097 0.8286 0.1987  4 O 1.86-1.89
Ga 0.6652 0.4487 0.2639  4 O 1.85-1.89
Ga 0.7459 0.2544 0.5552  4 O 1.83-1.91
O 0.0203 0.8164 0.3795  1 Ga 1.83
O 0.2024 0.3741 0.7685  2 Ga 1.85-1.87
O 0.2152 0.7395 0.6402  2 Ga 1.86
O 0.2425 0.0145 0.8982  2 Ga 1.86-1.91
O 0.2905 0.2414 0.2022  1 Ga 1.83
O 0.3029 0.6349 0.9142  2 Ga 1.87-1.88
O 0.3766 0.5198 0.3700  2 Ga 1.89-1.91
O 0.4075 0.8022 0.1155  2 Ga 1.87
O 0.4413 0.8933 0.3862  2 Ga 1.89-1.91
O 0.5587 0.1067 0.6138  2 Ga 1.89-1.91
O 0.5925 0.1978 0.8845  2 Ga 1.87
O 0.6234 0.4802 0.6300  2 Ga 1.89-1.91
O 0.6971 0.3651 0.0858  2 Ga 1.87-1.88
O 0.7095 0.7586 0.7978  1 Ga 1.83
O 0.7575 0.9855 0.1018  2 Ga 1.86-1.91
O 0.7848 0.2605 0.3598  2 Ga 1.86
O 0.7976 0.6259 0.2315  2 Ga 1.85-1.87
O 0.9797 0.1836 0.6205  1 Ga 1.83

Results
SG = No. 2
V = 502.02 Å³ per cell
Formation energy (no corrections) = -2.33 eV per atom


(4)
A relaxed structure of Sr6Ga3O, computed with PBE.

Lattice parameters (Å, degrees): 10.1291 10.1291 7.4496 90.00 90.00 111.61
With the nearest neighbours (Å) after each atom.
Fractional coordinates of all 20 atoms:
Sr 0.0794 0.9206 0.5000  1 O 2.42
Sr 0.1162 0.5701 0.3060  1 O 2.37
Sr 0.2625 0.7375 0.7882  1 O 2.36
Sr 0.2976 0.3344 0.7713  4 Ga 3.21-3.56
Sr 0.3344 0.2976 0.2713  4 Ga 3.21-3.56
Sr 0.4299 0.8838 0.3060  1 O 2.37
Sr 0.5701 0.1162 0.8060  1 O 2.37
Sr 0.6656 0.7024 0.7713  4 Ga 3.21-3.56
Sr 0.7024 0.6656 0.2713  4 Ga 3.21-3.56
Sr 0.7375 0.2625 0.2882  1 O 2.36
Sr 0.8838 0.4299 0.8060  1 O 2.37
Sr 0.9206 0.0794 0.0000  1 O 2.42
Ga 0.0068 0.2204 0.5035  1 Ga 2.59
Ga 0.2204 0.0068 0.0035  1 Ga 2.59
Ga 0.4056 0.5944 0.0665  7 Sr 3.17-3.36
Ga 0.5944 0.4056 0.5665  7 Sr 3.17-3.36
Ga 0.7796 0.9932 0.5035  1 Ga 2.59
Ga 0.9932 0.7796 0.0035  1 Ga 2.59
O 0.2237 0.7763 0.4840  4 Sr 2.36-2.42
O 0.7763 0.2237 0.9840  4 Sr 2.36-2.42

Results
SG = No. 36
V = 710.61 Å³ per cell
Formation energy (no corrections) = -0.71 eV per atom